(1)
Density functional theory data (PBE-GGA) for a relaxed NaCd6In5 crystal.

Results
- Formation energy from the elements: -0.006 eV/atom
- Energy: -20.6 eV per cell
- Excess energy over the best structure of this formula in the dataset: 0.000 eV per atom

Unit cell a=5.736 b=7.246 c=7.246 alpha=85.35 beta=96.03 gamma=96.03
Atoms (fractional coordinates):
Cd 0.244 0.413 0.085
Cd 0.756 0.587 0.915
Cd 0.756 0.915 0.587
Cd 0.256 0.750 0.750
Cd 0.244 0.085 0.413
Cd 0.744 0.250 0.250
In 0.000 0.336 0.664
In 0.000 0.664 0.336
In 0.500 0.170 0.830
In 0.500 0.500 0.500
In 0.500 0.830 0.170
Na 0.000 0.000 0.000

(2)
Density functional theory data (PBE-GGA) for a relaxed Np2AsSe crystal.

Results
- Raw formation energy: -288 kJ/mol of formula units
- Energy: -37.0 eV per cell
- Excess energy over the best structure of this formula in the dataset: 0.147 eV per atom

Unit cell a=3.870 b=3.870 c=7.859 alpha=75.75 beta=75.75 gamma=60.00
Last column: magnetic moment on the atom in μB.
Atoms (fractional coordinates):
Np 0.254 0.254 0.238  3.91
Np 0.080 0.080 0.761  -3.86
Se 0.499 0.499 0.504  0.01
As 0.668 0.668 0.997  0.00

(3)
Density functional theory data (PBE-GGA) for a relaxed ZnCrMo2 crystal.

Results
- Formation energy from the elements: 0.319 eV/atom
- Energy: -31.3 eV per cell

Unit cell a=2.694 b=2.694 c=8.254 alpha=90.00 beta=90.00 gamma=90.00
Last column: magnetic moment on the atom in μB.
Atoms (fractional coordinates):
Mo 0.500 0.500 0.261  0.04
Mo 0.000 0.000 0.982  0.10
Zn 0.000 0.000 0.511  0.01
Cr 0.500 0.500 0.746  2.43

(4)
Density functional theory data (PBE-GGA) for a relaxed In2Ga2H crystal.

Results
- Energy: -27.1 eV per cell
- Excess energy over the best structure of this formula in the dataset: 0.055 eV per atom

Unit cell a=6.220 b=6.220 c=5.243 alpha=90.00 beta=90.00 gamma=90.00
Atoms (fractional coordinates):
Ga 0.339 0.161 0.500
Ga 0.661 0.839 0.500
Ga 0.839 0.339 0.500
Ga 0.161 0.661 0.500
In 0.820 0.680 0.000
In 0.320 0.820 0.000
In 0.680 0.180 0.000
In 0.180 0.320 0.000
H 0.500 0.500 0.000
H 0.000 0.000 0.000

(5)
Density functional theory data (PBE-GGA) for a relaxed MnP2Rh2 crystal.

Results
- Formation energy from the elements: -0.432 eV/atom
- Energy: -36.9 eV per cell
- Excess energy over the best structure of this formula in the dataset: 0.000 eV per atom

Unit cell a=4.010 b=4.010 c=5.390 alpha=68.16 beta=68.16 gamma=90.00
Last column: magnetic moment on the atom in μB.
Atoms (fractional coordinates):
P 0.385 0.385 0.231  0.00
P 0.615 0.615 0.769  0.00
Mn 0.000 0.000 0.000  4.04
Rh 0.750 0.250 0.500  0.12
Rh 0.250 0.750 0.500  0.12

(6)
Density functional theory data (PBE-GGA) for a relaxed K3YW crystal.

Results
- Formation energy from the elements: 2.216 eV/atom
- Energy: -11.6 eV per cell
- Excess energy over the best structure of this formula in the dataset: 0.376 eV per atom

Unit cell a=6.885 b=6.885 c=6.885 alpha=90.00 beta=90.00 gamma=90.00
Last column: magnetic moment on the atom in μB.
Atoms (fractional coordinates):
W 0.500 0.500 0.500  3.45
K 0.000 0.500 0.000  0.04
K 0.000 0.000 0.500  0.04
K 0.500 0.000 0.000  0.04
Y 0.000 0.000 0.000  0.96

(7)
Density functional theory data (PBE-GGA) for a relaxed CsNaH6Ir crystal.

Results
- Energy: -33.3 eV per cell

Unit cell a=5.625 b=5.598 c=6.470 alpha=103.51 beta=103.18 gamma=42.48
Atoms (fractional coordinates):
H 0.994 0.755 0.528
H 0.513 0.986 0.320
H 0.533 0.423 0.718
H 0.084 0.410 0.316
H 0.296 0.206 0.675
H 0.496 0.405 0.339
Ir 0.388 0.311 0.501
Cs 0.001 0.903 0.039
Na 0.695 0.602 0.564

(8)
Density functional theory data (PBE-GGA) for a relaxed ZrMnFe2 crystal.

Results
- Formation energy from the elements: 0.077 eV/atom
- Energy: -34.3 eV per cell

Unit cell a=4.309 b=4.309 c=4.309 alpha=60.00 beta=60.00 gamma=60.00
Last column: magnetic moment on the atom in μB.
Atoms (fractional coordinates):
Fe 0.250 0.250 0.250  2.54
Fe 0.000 0.000 0.000  1.88
Zr 0.750 0.750 0.750  -0.38
Mn 0.500 0.500 0.500  2.42

(9)
Density functional theory data (PBE-GGA) for a relaxed DyMgS3 crystal.

Results
- Raw formation energy: -648 kJ/mol of formula units
- Energy: -50.6 eV per cell
- Excess energy over the best structure of this formula in the dataset: 0.000 eV per atom

Unit cell a=7.011 b=7.011 c=7.011 alpha=57.83 beta=57.83 gamma=57.83
Atoms (fractional coordinates):
S 0.234 0.948 0.562
S 0.438 0.766 0.052
S 0.562 0.234 0.948
S 0.948 0.562 0.234
S 0.766 0.052 0.438
S 0.052 0.438 0.766
Dy 0.350 0.350 0.350
Dy 0.650 0.650 0.650
Mg 0.849 0.849 0.849
Mg 0.151 0.151 0.151